#1
Below is Zr2AlPtPb after structural relaxation, with properties calculated at the PBE level.

Properties
Symmetry: P4/mmm (123)
Calculated volume (Å³/atom): 29.26
Total moment (μB per cell): 0.0
D(E_F) (states/eV/f.u.): 3.12

Lattice parameters (Å, degrees): 5.3273 5.1557 5.3273 90.00 90.00 90.00
Element x y z (fractional)
Pb  0.0000  0.5000  0.0000
Zr  0.0000  0.0000  0.5000
Zr  0.5000  0.0000  0.0000
Pt  0.0000  0.0000  0.0000
Al  0.5000  0.5000  0.5000



#2
Below is Zr2AlPtPb after structural relaxation, with properties calculated at the PBE level.

Properties
Symmetry: P4/mmm (123)
Calculated volume (Å³/atom): 29.45
Total moment (μB per cell): 0.0
D(E_F) (states/eV/f.u.): 7.28

Lattice parameters (Å, degrees): 5.5390 4.7994 5.5390 90.00 90.00 90.00
Element x y z (fractional)
Pb  0.0000  0.0000  0.0000
Zr  0.0000  0.0000  0.5000
Zr  0.5000  0.0000  0.0000
Pt  0.5000  0.5000  0.5000
Al  0.0000  0.5000  0.0000



Relative energies in meV per atom: #1 0; #2 859



#1
Below is PuAlPb2 after structural relaxation, with properties calculated at the PBE level.

Properties
Symmetry: R-3m (166)
Calculated volume (Å³/atom): 27.08
Total moment (μB per cell): 6.0
D(E_F) (states/eV/f.u.): 12.06

Lattice parameters (Å, degrees): 4.9915 4.9915 5.7892 64.46 64.46 60.00
Last column: magnetic moment on the atom in μB.
Element x y z (fractional)
Pb  0.7654  0.7654  0.7037  0.03
Pb  0.2346  0.2346  0.2963  0.03
Al  0.5000  0.5000  0.5000  -0.01
Pu  0.0000  0.0000  0.0000  5.55



#2
Below is PuAlPb2 after structural relaxation, with properties calculated at the PBE level.

Properties
Symmetry: P4/mmm (123)
Calculated volume (Å³/atom): 25.54
Total moment (μB per cell): 5.5
D(E_F) (states/eV/f.u.): 10.37

Lattice parameters (Å, degrees): 4.5976 4.7136 4.7136 90.00 90.00 90.00
Last column: magnetic moment on the atom in μB.
Element x y z (fractional)
Pb  0.0000  0.0000  0.5000  0.01
Pb  0.0000  0.5000  0.0000  0.01
Al  0.5000  0.5000  0.5000  0.01
Pu  0.5000  0.0000  0.0000  -5.34



Relative energies in meV per atom: #1 224; #2 0



#1
Below is PuAlPb after structural relaxation, with properties calculated at the PBE level.

Properties
Symmetry: P-6m2 (187)
Calculated volume (Å³/atom): 24.56
Total moment (μB per cell): 5.7
D(E_F) (states/eV/f.u.): 7.12

Lattice parameters (Å, degrees): 3.3910 5.0089 5.0089 120.00 90.00 90.00
Last column: magnetic moment on the atom in μB.
Element x y z (fractional)
Pb  0.1666  0.3333  0.6667  -0.04
Al  0.1668  0.0000  0.0000  -0.02
Pu  0.6666  0.6667  0.3333  5.44



#2
Below is PuAlPb after structural relaxation, with properties calculated at the PBE level.

Properties
Symmetry: Pmma (51)
Calculated volume (Å³/atom): 24.53
Total moment (μB per cell): 11.3
D(E_F) (states/eV/f.u.): 8.63

Lattice parameters (Å, degrees): 3.0752 5.8996 8.1118 90.00 90.00 90.00
Last column: magnetic moment on the atom in μB.
Element x y z (fractional)
Pu  0.5000  0.7500  0.7043  5.47
Pu  0.5000  0.2500  0.2957  5.47
Pb  0.0000  0.2500  0.6700  -0.04
Pb  0.0000  0.7500  0.3300  -0.04
Al  0.0000  0.0000  0.0000  -0.02
Al  0.0000  0.5000  0.0000  -0.02



Relative energies in meV per atom: #1 41; #2 0